1.
DFT (GGA-PBE) results for CaPa5Sb6 after structural relaxation.

Summary:
For the theoretical density, the calculation gives 8.9 g cm⁻³. Its space group is C2/m (12). As for the uncorrected energy: -6.706 eV/atom.

a b c (Å): 7.605 7.581 7.591
angles (deg): 60.05 80.43 70.55
Site moments in Bohr magnetons follow the coordinates.
Fractional positions:
Pa 0.500 0.164 0.672  0.58
Pa 0.000 0.667 0.665  0.52
Pa 0.000 0.333 0.335  0.52
Pa 0.500 0.836 0.328  0.58
Pa 0.500 0.500 0.000  0.63
Sb 0.749 0.419 0.665  -0.02
Sb 0.251 0.916 0.665  -0.02
Sb 0.752 0.747 0.000  -0.02
Sb 0.251 0.581 0.335  -0.02
Sb 0.749 0.084 0.335  -0.02
Sb 0.248 0.253 0.000  -0.02
Ca 0.000 0.000 0.000  -0.01


2.
DFT (GGA-PBE) results for CaPaSb2 after structural relaxation.

Summary:
The energy above the lowest structure with this stoichiometry comes out at 110.8 meV per atom. For the theoretical density, the calculation gives 7.7 g cm⁻³. Its space group is P4/mmm (123). As for the uncorrected energy: -5.545 eV/atom.

a b c (Å): 3.805 3.805 7.693
angles (deg): 90.00 90.00 90.00
Fractional positions:
Sb 0.000 0.000 0.769
Sb 0.000 0.000 0.231
Pa 0.500 0.500 0.000
Ca 0.500 0.500 0.500